(1)
An optimized crystal structure of ZrNiMo2, computed with PBE.

density	8.740	g/cm3
N(E_F)	4.3	states/eV per cell
energy of formation	0.09	eV per atom

```
data_ZrNiMo2
_chemical_formula_sum 'Zr1 Ni1 Mo2'
_cell_length_a 2.753
_cell_length_b 4.379
_cell_length_c 5.479
_cell_angle_alpha 90.00
_cell_angle_beta 100.44
_cell_angle_gamma 90.00
_space_group_name_H-M_alt 'P 1 m 1'
_space_group_IT_number 6
_space_group_name_Hall 'P -2y'
loop_
_atom_site_label
_atom_site_type_symbol
_atom_site_fract_x
_atom_site_fract_y
_atom_site_fract_z
Zr1 Zr 0.000 0.000 0.000
Ni1 Ni 0.304 0.500 0.755
Mo1 Mo 0.527 0.000 0.497
Mo2 Mo 0.738 0.500 0.288
```

---

(2)
An optimized crystal structure of ZrNiMo2, computed with PBE.

density	8.670	g/cm3
N(E_F)	3.9	states/eV per cell
energy of formation	0.23	eV per atom

```
data_ZrNiMo2
_chemical_formula_sum 'Zr1 Ni1 Mo2'
_cell_length_a 2.758
_cell_length_b 3.614
_cell_length_c 6.569
_cell_angle_alpha 90.00
_cell_angle_beta 90.00
_cell_angle_gamma 90.00
_space_group_name_H-M_alt 'P m m m'
_space_group_IT_number 47
_space_group_name_Hall '-P 2 2'
loop_
_atom_site_label
_atom_site_type_symbol
_atom_site_fract_x
_atom_site_fract_y
_atom_site_fract_z
Zr1 Zr 0.000 0.000 0.000
Ni1 Ni 0.000 0.000 0.500
Mo1 Mo 0.500 0.500 0.299
```

---

(3)
An optimized crystal structure of ZrNiMo2, computed with PBE.

density	8.873	g/cm3
N(E_F)	19.6	states/eV per cell
energy of formation	0.32	eV per atom

```
data_ZrNiMo2
_chemical_formula_sum 'Zr4 Ni4 Mo8'
_cell_length_a 6.348
_cell_length_b 6.348
_cell_length_c 6.348
_cell_angle_alpha 90.00
_cell_angle_beta 90.00
_cell_angle_gamma 90.00
_space_group_name_H-M_alt 'F m -3 m'
_space_group_IT_number 225
_space_group_name_Hall '-F 4 2 3'
loop_
_atom_site_label
_atom_site_type_symbol
_atom_site_fract_x
_atom_site_fract_y
_atom_site_fract_z
Zr1 Zr 0.000 0.000 0.000
Ni1 Ni 0.000 0.000 0.500
Mo1 Mo 0.250 0.250 0.250
```

---

(4)
An optimized crystal structure of ZrNiMo2, computed with PBE.

density	8.862	g/cm3
N(E_F)	7.7	states/eV per cell
energy of formation	0.05	eV per atom

```
data_ZrNiMo2
_chemical_formula_sum 'Zr2 Ni2 Mo4'
_cell_length_a 3.338
_cell_length_b 4.417
_cell_length_c 8.688
_cell_angle_alpha 90.00
_cell_angle_beta 90.00
_cell_angle_gamma 90.00
_space_group_name_H-M_alt 'C m m 2'
_space_group_IT_number 35
_space_group_name_Hall 'C 2 -2'
loop_
_atom_site_label
_atom_site_type_symbol
_atom_site_fract_x
_atom_site_fract_y
_atom_site_fract_z
Zr1 Zr 0.000 0.000 0.000
Ni1 Ni 0.000 0.500 0.750
Mo1 Mo 0.000 0.000 0.533
Mo2 Mo 0.000 0.500 0.282
```

---

(5)
An optimized crystal structure of ZrNi2Mo, computed with PBE.

density	8.397	g/cm3
N(E_F)	20.4	states/eV per cell
energy of formation	0.23	eV per atom

```
data_ZrNi2Mo
_chemical_formula_sum 'Zr3 Ni6 Mo3'
_cell_length_a 2.7929
_cell_length_b 2.7929
_cell_length_c 26.7466
_cell_angle_alpha 90.00
_cell_angle_beta 90.00
_cell_angle_gamma 120.00
_space_group_name_H-M_alt 'R -3 m'
_space_group_IT_number 166
_space_group_name_Hall '-R 3 2"'
loop_
_atom_site_label
_atom_site_type_symbol
_atom_site_fract_x
_atom_site_fract_y
_atom_site_fract_z
Zr1 Zr 0.0000 0.0000 0.0000
Ni1 Ni 0.0000 0.0000 0.2448
Mo1 Mo 0.0000 0.0000 0.5000
```

---

(6)
An optimized crystal structure of ZrNi2Mo, computed with PBE.

density	8.424	g/cm3
N(E_F)	4.0	states/eV per cell
energy of formation	-0.08	eV per atom

```
data_ZrNi2Mo
_chemical_formula_sum 'Zr1 Ni2 Mo1'
_cell_length_a 3.181
_cell_length_b 3.181
_cell_length_c 5.933
_cell_angle_alpha 90.00
_cell_angle_beta 90.00
_cell_angle_gamma 90.00
_space_group_name_H-M_alt 'P 4 m m'
_space_group_IT_number 99
_space_group_name_Hall 'P 4 -2'
loop_
_atom_site_label
_atom_site_type_symbol
_atom_site_fract_x
_atom_site_fract_y
_atom_site_fract_z
Zr1 Zr 0.000 0.000 0.000
Ni1 Ni 0.000 0.000 0.529
Ni2 Ni 0.500 0.500 0.749
Mo1 Mo 0.500 0.500 0.321
```

---

(7)
An optimized crystal structure of ZrNiMo2, computed with PBE.

density	8.666	g/cm3
N(E_F)	13.7	states/eV per cell
energy of formation	0.32	eV per atom

```
data_ZrNiMo2
_chemical_formula_sum 'Zr3 Ni3 Mo6'
_cell_length_a 2.8332
_cell_length_b 2.8332
_cell_length_c 28.2647
_cell_angle_alpha 90.00
_cell_angle_beta 90.00
_cell_angle_gamma 120.00
_space_group_name_H-M_alt 'R 3 m'
_space_group_IT_number 160
_space_group_name_Hall 'R 3 -2"'
loop_
_atom_site_label
_atom_site_type_symbol
_atom_site_fract_x
_atom_site_fract_y
_atom_site_fract_z
Zr1 Zr 0.0000 0.0000 0.0000
Ni1 Ni 0.0000 0.0000 0.2509
Mo1 Mo 0.0000 0.0000 0.5126
Mo2 Mo 0.0000 0.0000 0.7609
```

---

(8)
An optimized crystal structure of ZrNi4Mo, computed with PBE.

density	8.759	g/cm3
N(E_F)	23.8	states/eV per cell
energy of formation	-0.17	eV per atom

```
data_ZrNi4Mo
_chemical_formula_sum 'Zr4 Ni16 Mo4'
_cell_length_a 6.840
_cell_length_b 6.840
_cell_length_c 6.840
_cell_angle_alpha 90.00
_cell_angle_beta 90.00
_cell_angle_gamma 90.00
_space_group_name_H-M_alt 'F -4 3 m'
_space_group_IT_number 216
_space_group_name_Hall 'F -4 2 3'
loop_
_atom_site_label
_atom_site_type_symbol
_atom_site_fract_x
_atom_site_fract_y
_atom_site_fract_z
Zr1 Zr 0.000 0.000 0.000
Ni1 Ni 0.124 0.124 0.624
Mo1 Mo 0.250 0.250 0.250
```